Density functional theory data (PBE+U) for a relaxed CsW3O9 crystal.

Lattice parameters (Å, degrees): 6.1474 7.8157 8.1246 90.00 90.09 90.00
Last column: nearest neighbours and their distance in Å.
Atoms (fractional coordinates):
Cs  0.0011  0.2500  0.4222  4 O 2.79
Cs  0.9989  0.7500  0.5778  4 O 2.79
W  0.0000  0.0000  0.0000  6 O 1.95-2.04
W  0.0000  0.5000  0.0000  6 O 1.95-2.04
W  0.4992  0.0015  0.6984  6 O 1.90-2.00
W  0.4992  0.4985  0.6984  6 O 1.90-2.00
W  0.5008  0.5015  0.3016  6 O 1.90-2.00
W  0.5008  0.9985  0.3016  6 O 1.90-2.00
O  0.0007  0.2500  0.0006  2 W 1.95
O  0.2464  0.0000  0.8327  2 W 1.90-2.04
O  0.2464  0.5000  0.8327  2 W 1.90-2.04
O  0.2486  0.5010  0.1662  2 W 1.90-2.04
O  0.2486  0.9990  0.1662  2 W 1.90-2.04
O  0.3078  0.5011  0.4994  2 W 2.00
O  0.3078  0.9989  0.4994  2 W 2.00
O  0.4977  0.2500  0.6993  2 W 1.94
O  0.4998  0.2500  0.2998  2 W 1.97
O  0.5002  0.7500  0.7002  2 W 1.97
O  0.5023  0.7500  0.3007  2 W 1.94
O  0.6922  0.0011  0.5006  2 W 2.00
O  0.6922  0.4989  0.5006  2 W 2.00
O  0.7514  0.0010  0.8338  2 W 1.90-2.04
O  0.7514  0.4990  0.8338  2 W 1.90-2.04
O  0.7536  0.0000  0.1673  2 W 1.90-2.04
O  0.7536  0.5000  0.1673  2 W 1.90-2.04
O  0.9993  0.7500  0.9994  2 W 1.95

The value obtained for the polymorph energy (0 for the lowest one) is 0.073 eV per atom.